DFT (GGA-PBE) results for CeHoPt after structural relaxation.

Cell lengths 4.6657, 4.6657, 4.0680 Å; angles 90.00, 90.00, 120.00 degrees
Closest atoms and distances in Å follow each position.
Space group P3m1 (No. 156)
Inequivalent atoms, fractional coordinates:
Ce1 0.0000 0.0000 0.0000 x1  3 Pt 2.99, 3 Ho 3.28
Ho1 0.6667 0.3333 0.4598 x1  3 Pt 2.84
Pt1 0.3333 0.6667 0.6792 x1  3 Ho 2.84, 3 Ce 2.99

For the calculated formation energy, the calculation gives -0.58 eV/atom. As for the theoretical density: 10.83 Mg/m³. The calculation puts the energy above the lowest structure with this stoichiometry at 4.896 kcal/mol of atoms. For the spin magnetization, the calculation gives 0.80 μB/f.u.

***

DFT (GGA-PBE) results for AcHoPb2O8 after structural relaxation.

Cell lengths 5.5997, 5.5997, 11.4833 Å; angles 90.00, 90.00, 90.00 degrees
Closest atoms and distances in Å follow each position.
Space group I-4 (No. 82)
Inequivalent atoms, fractional coordinates:
Ac1 0.0000 0.0000 0.0000 x2  8 O 2.51-2.58
Ho1 0.0000 0.5000 0.2500 x2  8 O 2.36-2.41
Pb1 0.0000 0.0000 0.5000 x2  4 O 2.13
Pb2 0.0000 0.5000 0.7500 x2  4 O 2.13
O1 0.1840 0.2588 0.3983 x8  1 Pb 2.13
O2 0.2129 0.7530 0.8410 x8  1 Pb 2.13, 1 Ho 2.36

Its uncorrected formation energy is -1722 meV/atom. As for the theoretical density: 8.62 Mg/m³. For the spin magnetization, the calculation gives 2.06 μB/f.u.

***

What did the first record say?
DFT (GGA-PBE) results for CeHoPt after structural relaxation.

Cell lengths 4.6657, 4.6657, 4.0680 Å; angles 90.00, 90.00, 120.00 degrees
Closest atoms and distances in Å follow each position.
Space group P3m1 (No. 156)
Inequivalent atoms, fractional coordinates:
Ce1 0.0000 0.0000 0.0000 x1  3 Pt 2.99, 3 Ho 3.28
Ho1 0.6667 0.3333 0.4598 x1  3 Pt 2.84
Pt1 0.3333 0.6667 0.6792 x1  3 Ho 2.84, 3 Ce 2.99

For the calculated formation energy, the calculation gives -0.58 eV/atom. As for the theoretical density: 10.83 Mg/m³. The calculation puts the energy above the lowest structure with this stoichiometry at 4.896 kcal/mol of atoms. For the spin magnetization, the calculation gives 0.80 μB/f.u.

***

Question: Among the records above, which one has the lowest spin magnetization?
Answer: CeHoPt

***

Question: Which value of theoretical density does entry 2 give?
Answer: 8.62 Mg/m³